Record 1
DFT (GGA-PBE) results for a relaxed SmCdGe2Rh5 crystal.

Results
The calculation puts the formation energy from the elements at -3.0 eV per formula unit. The density of states at the Fermi level is 0.14 states/eV per atom.

```
data_SmCdGe2Rh5
_chemical_formula_sum 'Sm1 Cd1 Ge2 Rh5'
_cell_length_a 4.5819
_cell_length_b 4.5819
_cell_length_c 7.5928
_cell_angle_alpha 90.00
_cell_angle_beta 90.00
_cell_angle_gamma 90.00
_symmetry_space_group_name_H-M 'P 1'
_symmetry_Int_Tables_number 1
_symmetry_space_group_name_Hall 'P 1'
loop_
_atom_site_label
_atom_site_type_symbol
_atom_site_fract_x
_atom_site_fract_y
_atom_site_fract_z
Sm1 Sm 0.0000 0.0000 0.0000
Cd1 Cd 0.0000 0.0000 0.5000
Ge1 Ge 0.5000 0.5000 0.3302
Ge2 Ge 0.5000 0.5000 0.6698
Rh1 Rh 0.0000 0.5000 0.2570
Rh2 Rh 0.0000 0.5000 0.7430
Rh3 Rh 0.5000 0.0000 0.2570
Rh4 Rh 0.5000 0.0000 0.7430
Rh5 Rh 0.5000 0.5000 0.0000
```

***

Record 2
DFT (GGA-PBE) results for a relaxed NaAc3Tb3Se8 crystal.

Results
The density of states at the Fermi level is 0.30 states/eV per atom. The uncorrected formation energy is -1.814 eV/atom.

```
data_NaAc3Tb3Se8
_chemical_formula_sum 'Na1 Ac3 Tb3 Se8'
_cell_length_a 8.5906
_cell_length_b 8.5906
_cell_length_c 8.5906
_cell_angle_alpha 58.93
_cell_angle_beta 58.93
_cell_angle_gamma 58.93
_symmetry_space_group_name_H-M 'P 1'
_symmetry_Int_Tables_number 1
_symmetry_space_group_name_Hall 'P 1'
loop_
_atom_site_label
_atom_site_type_symbol
_atom_site_fract_x
_atom_site_fract_y
_atom_site_fract_z
Na1 Na 0.0000 0.0000 0.0000
Ac1 Ac 0.0000 0.0000 0.5000
Ac2 Ac 0.0000 0.5000 0.0000
Ac3 Ac 0.5000 0.0000 0.0000
Tb1 Tb 0.0000 0.5000 0.5000
Tb2 Tb 0.5000 0.0000 0.5000
Tb3 Tb 0.5000 0.5000 0.0000
Se1 Se 0.2499 0.2499 0.7334
Se2 Se 0.2499 0.7334 0.2499
Se3 Se 0.2586 0.2586 0.2586
Se4 Se 0.2666 0.7501 0.7501
Se5 Se 0.7334 0.2499 0.2499
Se6 Se 0.7414 0.7414 0.7414
Se7 Se 0.7501 0.2666 0.7501
Se8 Se 0.7501 0.7501 0.2666
```

***

Record 3
DFT (GGA-PBE) results for a relaxed SnAsRu3 crystal.

Results
The calculation puts the formation energy from the elements at 3.4 eV per formula unit. The density of states at the Fermi level is 0.92 states/eV per atom. The energy above the most stable polymorph in this dataset is 0.000 eV/f.u.

```
data_SnAsRu3
_chemical_formula_sum 'Sn1 As1 Ru3'
_cell_length_a 4.5233
_cell_length_b 4.5233
_cell_length_c 4.5233
_cell_angle_alpha 90.00
_cell_angle_beta 90.00
_cell_angle_gamma 90.00
_symmetry_space_group_name_H-M 'P 1'
_symmetry_Int_Tables_number 1
_symmetry_space_group_name_Hall 'P 1'
loop_
_atom_site_label
_atom_site_type_symbol
_atom_site_fract_x
_atom_site_fract_y
_atom_site_fract_z
Sn1 Sn 0.0000 0.0000 0.0000
As1 As 0.5000 0.5000 0.5000
Ru1 Ru 0.0000 0.5000 0.5000
Ru2 Ru 0.5000 0.0000 0.5000
Ru3 Ru 0.5000 0.5000 0.0000
```

***

Record 4
DFT (GGA-PBE) results for a relaxed TeIrRh2 crystal.

Results
The density of states at the Fermi level is 1.60 states/eV per atom. The uncorrected formation energy is 0.348 eV/atom.

```
data_TeIrRh2
_chemical_formula_sum 'Te1 Ir1 Rh2'
_cell_length_a 3.0691
_cell_length_b 3.0691
_cell_length_c 7.0229
_cell_angle_alpha 90.00
_cell_angle_beta 90.00
_cell_angle_gamma 90.00
_symmetry_space_group_name_H-M 'P 1'
_symmetry_Int_Tables_number 1
_symmetry_space_group_name_Hall 'P 1'
loop_
_atom_site_label
_atom_site_type_symbol
_atom_site_fract_x
_atom_site_fract_y
_atom_site_fract_z
Te1 Te 0.0000 0.0000 0.0000
Ir1 Ir 0.5000 0.5000 0.2768
Rh1 Rh 0.0000 0.0000 0.5027
Rh2 Rh 0.5000 0.5000 0.7530
```

***

Record 5
DFT (GGA-PBE) results for a relaxed RuPtW2 crystal.

Results
The calculation puts the formation energy from the elements at -0.2 eV per formula unit. The density of states at the Fermi level is 0.93 states/eV per atom. The energy above the most stable polymorph in this dataset is 0.532 eV/f.u.

```
data_RuPtW2
_chemical_formula_sum 'Ru2 Pt2 W4'
_cell_length_a 3.9622
_cell_length_b 3.9622
_cell_length_c 7.8233
_cell_angle_alpha 90.00
_cell_angle_beta 90.00
_cell_angle_gamma 90.00
_symmetry_space_group_name_H-M 'P 1'
_symmetry_Int_Tables_number 1
_symmetry_space_group_name_Hall 'P 1'
loop_
_atom_site_label
_atom_site_type_symbol
_atom_site_fract_x
_atom_site_fract_y
_atom_site_fract_z
Ru1 Ru 0.0000 0.0000 0.0000
Ru2 Ru 0.5000 0.5000 0.5000
Pt1 Pt 0.0000 0.5000 0.7500
Pt2 Pt 0.5000 0.0000 0.2500
W1 W 0.0000 0.0000 0.5000
W2 W 0.0000 0.5000 0.2500
W3 W 0.5000 0.0000 0.7500
W4 W 0.5000 0.5000 0.0000
```

***

Record 6
DFT (GGA-PBE) results for a relaxed PmNdMnIn crystal.

Results
The calculation puts the formation energy from the elements at -0.2 eV per formula unit. The density of states at the Fermi level is 1.26 states/eV per atom.

```
data_PmNdMnIn
_chemical_formula_sum 'Pm4 Nd4 Mn4 In4'
_cell_length_a 7.5734
_cell_length_b 7.5734
_cell_length_c 7.5734
_cell_angle_alpha 90.00
_cell_angle_beta 90.00
_cell_angle_gamma 90.00
_symmetry_space_group_name_H-M 'P 1'
_symmetry_Int_Tables_number 1
_symmetry_space_group_name_Hall 'P 1'
loop_
_atom_site_label
_atom_site_type_symbol
_atom_site_fract_x
_atom_site_fract_y
_atom_site_fract_z
Pm1 Pm 0.0000 0.0000 0.0000
Pm2 Pm 0.0000 0.5000 0.5000
Pm3 Pm 0.5000 0.0000 0.5000
Pm4 Pm 0.5000 0.5000 0.0000
Nd1 Nd 0.0000 0.0000 0.5000
Nd2 Nd 0.0000 0.5000 0.0000
Nd3 Nd 0.5000 0.0000 0.0000
Nd4 Nd 0.5000 0.5000 0.5000
Mn1 Mn 0.2500 0.2500 0.2500
Mn2 Mn 0.2500 0.7500 0.7500
Mn3 Mn 0.7500 0.2500 0.7500
Mn4 Mn 0.7500 0.7500 0.2500
In1 In 0.2500 0.2500 0.7500
In2 In 0.2500 0.7500 0.2500
In3 In 0.7500 0.2500 0.2500
In4 In 0.7500 0.7500 0.7500
```

***

Record 7
DFT (GGA-PBE) results for a relaxed Li2SBr crystal.

Results
The density of states at the Fermi level is 0.26 states/eV per atom. The energy above the most stable polymorph in this dataset is 0.313 eV/f.u. The uncorrected formation energy is -0.826 eV/atom.

```
data_Li2SBr
_chemical_formula_sum 'Li6 S3 Br3'
_cell_length_a 3.8034
_cell_length_b 3.8034
_cell_length_c 22.6309
_cell_angle_alpha 90.00
_cell_angle_beta 90.00
_cell_angle_gamma 120.00
_symmetry_space_group_name_H-M 'P 1'
_symmetry_Int_Tables_number 1
_symmetry_space_group_name_Hall 'P 1'
loop_
_atom_site_label
_atom_site_type_symbol
_atom_site_fract_x
_atom_site_fract_y
_atom_site_fract_z
Li1 Li 0.0000 0.0000 0.1002
Li2 Li 0.0000 0.0000 0.8998
Li3 Li 0.3333 0.6667 0.5664
Li4 Li 0.3333 0.6667 0.7669
Li5 Li 0.6667 0.3333 0.2331
Li6 Li 0.6667 0.3333 0.4336
S1 S 0.0000 0.0000 0.0000
S2 S 0.3333 0.6667 0.6667
S3 S 0.6667 0.3333 0.3333
Br1 Br 0.0000 0.0000 0.5000
Br2 Br 0.3333 0.6667 0.1667
Br3 Br 0.6667 0.3333 0.8333
```

***

Record 8
DFT (GGA-PBE) results for a relaxed Ce3PrNd3Se8 crystal.

Results
The density of states at the Fermi level is 1.43 states/eV per atom. The uncorrected formation energy is -1.859 eV/atom.

```
data_Ce3PrNd3Se8
_chemical_formula_sum 'Ce3 Pr1 Nd3 Se8'
_cell_length_a 8.4287
_cell_length_b 8.4287
_cell_length_c 8.4287
_cell_angle_alpha 59.98
_cell_angle_beta 59.98
_cell_angle_gamma 59.98
_symmetry_space_group_name_H-M 'P 1'
_symmetry_Int_Tables_number 1
_symmetry_space_group_name_Hall 'P 1'
loop_
_atom_site_label
_atom_site_type_symbol
_atom_site_fract_x
_atom_site_fract_y
_atom_site_fract_z
Ce1 Ce 0.0000 0.5000 0.5000
Ce2 Ce 0.5000 0.0000 0.5000
Ce3 Ce 0.5000 0.5000 0.0000
Pr1 Pr 0.0000 0.0000 0.0000
Nd1 Nd 0.0000 0.0000 0.5000
Nd2 Nd 0.0000 0.5000 0.0000
Nd3 Nd 0.5000 0.0000 0.0000
Se1 Se 0.2505 0.2505 0.2505
Se2 Se 0.2540 0.2540 0.7447
Se3 Se 0.2540 0.7447 0.2540
Se4 Se 0.2553 0.7460 0.7460
Se5 Se 0.7447 0.2540 0.2540
Se6 Se 0.7460 0.2553 0.7460
Se7 Se 0.7460 0.7460 0.2553
Se8 Se 0.7495 0.7495 0.7495
```

***

Record 9
DFT (GGA-PBE) results for a relaxed Sc2AsSe crystal.

Results
The density of states at the Fermi level is 0.70 states/eV per atom. The energy above the most stable polymorph in this dataset is 1.654 eV/f.u. The uncorrected formation energy is -1.140 eV/atom.

```
data_Sc2AsSe
_chemical_formula_sum 'Sc2 As1 Se1'
_cell_length_a 3.3871
_cell_length_b 3.4957
_cell_length_c 6.8769
_cell_angle_alpha 90.00
_cell_angle_beta 101.42
_cell_angle_gamma 90.00
_symmetry_space_group_name_H-M 'P 1'
_symmetry_Int_Tables_number 1
_symmetry_space_group_name_Hall 'P 1'
loop_
_atom_site_label
_atom_site_type_symbol
_atom_site_fract_x
_atom_site_fract_y
_atom_site_fract_z
Sc1 Sc 0.0428 0.0000 0.2579
Sc2 Sc 0.9572 0.0000 0.7421
As1 As 0.5000 0.5000 0.5000
Se1 Se 0.5000 0.5000 0.0000
```

***

Record 10
DFT (GGA-PBE) results for a relaxed BaNi3Ge3 crystal.

Results
The calculation puts the formation energy from the elements at -1.8 eV per formula unit. The density of states at the Fermi level is 0.65 states/eV per atom. The energy above the most stable polymorph in this dataset is 0.000 eV/f.u.

```
data_BaNi3Ge3
_chemical_formula_sum 'Ba2 Ni6 Ge6'
_cell_length_a 6.5822
_cell_length_b 6.5822
_cell_length_c 6.5822
_cell_angle_alpha 90.00
_cell_angle_beta 90.00
_cell_angle_gamma 90.00
_symmetry_space_group_name_H-M 'P 1'
_symmetry_Int_Tables_number 1
_symmetry_space_group_name_Hall 'P 1'
loop_
_atom_site_label
_atom_site_type_symbol
_atom_site_fract_x
_atom_site_fract_y
_atom_site_fract_z
Ba1 Ba 0.0000 0.0000 0.0000
Ba2 Ba 0.5000 0.5000 0.5000
Ni1 Ni 0.0000 0.2500 0.5000
Ni2 Ni 0.0000 0.7500 0.5000
Ni3 Ni 0.2500 0.5000 0.0000
Ni4 Ni 0.5000 0.0000 0.2500
Ni5 Ni 0.5000 0.0000 0.7500
Ni6 Ni 0.7500 0.5000 0.0000
Ge1 Ge 0.0000 0.5000 0.2500
Ge2 Ge 0.0000 0.5000 0.7500
Ge3 Ge 0.2500 0.0000 0.5000
Ge4 Ge 0.5000 0.2500 0.0000
Ge5 Ge 0.5000 0.7500 0.0000
Ge6 Ge 0.7500 0.0000 0.5000
```

***

Record 11
DFT (GGA-PBE) results for a relaxed Na2AgH crystal.

Results
The density of states at the Fermi level is 0.07 states/eV per atom. The energy above the most stable polymorph in this dataset is 0.297 eV/f.u.

```
data_Na2AgH
_chemical_formula_sum 'Na8 Ag4 H4'
_cell_length_a 6.7343
_cell_length_b 6.7343
_cell_length_c 7.7462
_cell_angle_alpha 90.00
_cell_angle_beta 90.00
_cell_angle_gamma 90.00
_symmetry_space_group_name_H-M 'P 1'
_symmetry_Int_Tables_number 1
_symmetry_space_group_name_Hall 'P 1'
loop_
_atom_site_label
_atom_site_type_symbol
_atom_site_fract_x
_atom_site_fract_y
_atom_site_fract_z
Na1 Na 0.1463 0.2500 0.1250
Na2 Na 0.2500 0.6463 0.3750
Na3 Na 0.2500 0.8537 0.8750
Na4 Na 0.3537 0.2500 0.6250
Na5 Na 0.6463 0.7500 0.6250
Na6 Na 0.7500 0.1463 0.8750
Na7 Na 0.7500 0.3537 0.3750
Na8 Na 0.8537 0.7500 0.1250
Ag1 Ag 0.0000 0.0000 0.5000
Ag2 Ag 0.0000 0.5000 0.7500
Ag3 Ag 0.5000 0.0000 0.2500
Ag4 Ag 0.5000 0.5000 0.0000
H1 H 0.0000 0.0000 0.0000
H2 H 0.0000 0.5000 0.2500
H3 H 0.5000 0.0000 0.7500
H4 H 0.5000 0.5000 0.5000
```

***

Record 12
DFT (GGA-PBE) results for a relaxed TaCu3S crystal.

Results
The density of states at the Fermi level is 1.02 states/eV per atom. The energy above the most stable polymorph in this dataset is 0.000 eV/f.u. The uncorrected formation energy is 0.827 eV/atom.

```
data_TaCu3S
_chemical_formula_sum 'Ta1 Cu3 S1'
_cell_length_a 4.2752
_cell_length_b 4.2752
_cell_length_c 4.2752
_cell_angle_alpha 90.00
_cell_angle_beta 90.00
_cell_angle_gamma 90.00
_symmetry_space_group_name_H-M 'P 1'
_symmetry_Int_Tables_number 1
_symmetry_space_group_name_Hall 'P 1'
loop_
_atom_site_label
_atom_site_type_symbol
_atom_site_fract_x
_atom_site_fract_y
_atom_site_fract_z
Ta1 Ta 0.0000 0.0000 0.0000
Cu1 Cu 0.0000 0.5000 0.5000
Cu2 Cu 0.5000 0.0000 0.5000
Cu3 Cu 0.5000 0.5000 0.0000
S1 S 0.5000 0.5000 0.5000
```